{"formula": "KSrMnO2", "functional": "PBE+U", "state": "optimized geometry", "lattice": [[4.392, 0.000, 0.000], [0.000, 4.392, 0.000], [0.000, 0.000, 5.042]], "species": ["K", "Sr", "Mn", "O", "O"], "frac_coords": [[0.000, 0.000, 0.000], [0.500, 0.500, 0.000], [0.500, 0.500, 0.500], [0.000, 0.500, 0.500], [0.500, 0.000, 0.500]], "e_tot_ev_per_fu": -21.10, "magnetic_moment_mub_per_cell": 4.18, "volume_a3_per_cell": 97, "rho_g_cm3": 3.65, "space_group": "P4/mmm"}